Computed, not measured: CsHg3 after structural relaxation at the PBE level of DFT.

Output
Energy ... -0.5218 eV/atom
Spin magnetization ... 0.00 μB per formula unit

Cell and atoms, written as POSCAR:
```
CsHg3
1.0
-2.604 2.604 6.948
2.604 -2.604 6.948
2.604 2.604 -6.948
Cs Hg
1 3
direct
0.000 0.000 0.000
0.278 0.278 0.000
0.500 0.500 0.000
0.722 0.722 0.000
```